This record from Alexandria describes Dy3CoI after structural relaxation. The functional is PBE.

a b c (Å): 3.9519 7.0525 9.8925
angles (deg): 90.00 90.00 90.00
With the nearest neighbours (Å) after each atom.
Positions (direct):
Dy 0.2500 0.0054 0.1406  2 Co 2.65
Dy 0.2500 0.4946 0.1406  2 Co 2.65
Dy 0.2500 0.7500 0.6218  1 Co 2.75
Dy 0.7500 0.2500 0.3782  1 Co 2.75
Dy 0.7500 0.5054 0.8594  2 Co 2.65
Dy 0.7500 0.9946 0.8594  2 Co 2.65
Co 0.2500 0.7500 0.8994  5 Dy 2.65-2.75
Co 0.7500 0.2500 0.1006  5 Dy 2.65-2.75
I 0.2500 0.2500 0.6422  8 Dy 3.27-3.53
I 0.7500 0.7500 0.3578  8 Dy 3.27-3.53

Properties
Uncorrected formation energy in kJ/mol of atoms: -35
Final energy in eV per cell: -48.522
Space group: Pmmn